1.
A geometry-optimized RbMnGe2 structure. Source: the Alexandria database, functional GGA-PBE.

Structure (POSCAR):
```
RbMnGe2
1.0
0.0000 3.4923 3.4923
3.4923 0.0000 3.4923
3.4923 3.4923 0.0000
Ge Mn Rb
2 1 1
Cartesian
1.7462 1.7462 1.7462
5.2385 5.2385 5.2385
0.0000 0.0000 0.0000
3.4923 3.4923 3.4923
```

SG ... No. 225
V ... 21.30 Å³/atom
Energy of formation from the pure elements ... 674 meV/atom
Energy above the most stable polymorph in this dataset ... 614 meV per atom



2.
A geometry-optimized RbMn3Ge structure. Source: the Alexandria database, functional GGA-PBE.

Structure (POSCAR):
```
RbMn3Ge
1.0
-3.0349 2.6180 2.8198
1.7322 -2.2773 3.9786
3.4358 3.4606 0.4850
Ge Mn Rb
1 3 1
Cartesian
1.0665 1.9007 3.6417
0.8661 -1.1387 1.9893
1.7179 1.7303 0.2425
-1.5175 1.3090 1.4099
0.0000 0.0000 0.0000
```

SG ... No. 221
V ... 23.54 Å³/atom
Energy of formation from the pure elements ... 2346 meV/atom
Energy above the most stable polymorph in this dataset ... 1510 meV per atom



3.
A geometry-optimized RbMnGe2 structure. Source: the Alexandria database, functional GGA-PBE.

Structure (POSCAR):
```
RbMnGe2
1.0
-0.2053 3.3306 -2.5231
-3.2649 2.6049 0.2360
2.2103 5.7699 3.9684
Ge Mn Rb
2 1 1
Cartesian
-0.7582 2.4272 -0.2025
-0.5016 9.2782 1.8837
0.0000 0.0000 0.0000
-0.6299 5.8527 0.8406
```

SG ... No. 166
V ... 26.28 Å³/atom
Energy of formation from the pure elements ... 60 meV/atom
Energy above the most stable polymorph in this dataset ... 0 meV per atom



4.
A geometry-optimized RbMn3Ge structure. Source: the Alexandria database, functional GGA-PBE.

Structure (POSCAR):
```
RbMn3Ge
1.0
5.0669 0.0000 0.0000
0.0000 5.0669 0.0000
0.0000 0.0000 5.0669
Ge Mn Rb
1 3 1
Cartesian
0.0000 0.0000 0.0000
0.0000 2.5334 0.0000
0.0000 0.0000 2.5334
2.5334 0.0000 0.0000
2.5334 2.5334 2.5334
```

SG ... No. 221
V ... 26.02 Å³/atom
Energy of formation from the pure elements ... 836 meV/atom
Energy above the most stable polymorph in this dataset ... 0 meV per atom



5.
A geometry-optimized Rb3MnGe structure. Source: the Alexandria database, functional GGA-PBE.

Structure (POSCAR):
```
Rb3MnGe
1.0
6.6499 0.0000 0.0000
0.0000 6.6499 0.0000
0.0000 0.0000 6.6499
Ge Mn Rb
1 1 3
Cartesian
0.0000 0.0000 0.0000
3.3249 3.3249 3.3249
0.0000 3.3249 0.0000
0.0000 0.0000 3.3249
3.3249 0.0000 0.0000
```

SG ... No. 221
V ... 58.81 Å³/atom
Energy of formation from the pure elements ... 790 meV/atom
Energy above the most stable polymorph in this dataset ... 0 meV per atom



6.
A geometry-optimized RbMnGeS2 structure. Source: the Alexandria database, functional GGA-PBE.

Structure (POSCAR):
```
RbMnGeS2
1.0
5.1814 0.0000 0.0000
0.0000 4.8012 0.0000
0.0000 0.0000 5.1814
Ge Mn S Rb
1 1 2 1
Cartesian
0.0000 0.0000 0.0000
0.0000 2.4006 0.0000
0.0000 0.0000 2.5907
2.5907 0.0000 0.0000
2.5907 2.4006 2.5907
```

SG ... No. 123
V ... 25.78 Å³/atom
Formation energy without anion corrections ... 0.0555 eV/atom